a.
DFT (PBE-GGA) results for a geometry-optimized ErZnCu3 structure.

## Properties
Symmetry   Pbam

a = 4.501 Å, b = 5.650 Å, c = 7.158 Å
α = 90.00°, β = 90.00°, γ = 90.00°
Fractional positions:
Cu 0.500 0.500 0.000
Cu 0.500 0.000 0.500
Cu 0.000 0.745 0.253
Cu 0.000 0.255 0.747
Cu 0.000 0.245 0.247
Cu 0.000 0.755 0.753
Zn 0.000 0.000 0.500
Zn 0.000 0.500 0.000
Er 0.500 0.000 0.000
Er 0.500 0.500 0.500


b.
DFT (PBE-GGA) results for a geometry-optimized ErZnCu3 structure.

## Properties
Symmetry   Imma

a = 5.004 Å, b = 9.190 Å, c = 6.295 Å
α = 136.88°, β = 113.42°, γ = 90.00°
Fractional positions:
Er 0.250 0.244 0.500
Er 0.750 0.756 0.500
Zn 0.500 0.000 0.000
Zn 0.000 0.500 0.000
Cu 0.191 0.691 0.882
Cu 0.309 0.309 0.118
Cu 0.809 0.309 0.118
Cu 0.691 0.691 0.882
Cu 0.250 0.940 0.500
Cu 0.750 0.060 0.500


b (31.1 kJ/mol of atoms below the next structure)


a.
DFT (PBE-GGA) results for a geometry-optimized Er4Zn3Cu structure.

## Properties
Symmetry   Pmm2

a = 3.648 Å, b = 4.459 Å, c = 10.984 Å
α = 90.00°, β = 90.00°, γ = 90.00°
Fractional positions:
Zn 0.500 0.000 0.930
Zn 0.000 0.000 0.428
Zn 0.000 0.500 0.571
Er 0.000 0.000 0.146
Er 0.500 0.500 0.343
Er 0.000 0.500 0.857
Er 0.500 0.000 0.654
Cu 0.500 0.500 0.071


b.
DFT (PBE-GGA) results for a geometry-optimized Er4Zn3Cu structure.

## Properties
Symmetry   P4/mmm

a = 3.506 Å, b = 3.506 Å, c = 14.102 Å
α = 90.00°, β = 90.00°, γ = 90.00°
Fractional positions:
Er 0.000 0.000 0.627
Er 0.000 0.000 0.120
Er 0.000 0.000 0.880
Er 0.000 0.000 0.373
Zn 0.500 0.500 0.500
Zn 0.500 0.500 0.752
Zn 0.500 0.500 0.248
Cu 0.500 0.500 0.000


b (4.8 kJ/mol of atoms below the next structure)